First-principles (PBE) data for an optimized crystal structure of Al2ZnCl2, as listed in Alexandria via LeMat-Bulk.

Structure (POSCAR):
```
Al2ZnCl2
1.0
9.293 0.000 0.000
0.000 9.293 0.000
0.000 0.000 3.287
Al Zn Cl
4 2 4
Direct
0.239 0.261 0.000 Al
0.261 0.761 0.000 Al
0.739 0.239 0.000 Al
0.761 0.739 0.000 Al
0.000 0.000 0.500 Zn
0.500 0.500 0.500 Zn
0.126 0.626 0.500 Cl
0.374 0.126 0.500 Cl
0.626 0.874 0.500 Cl
0.874 0.374 0.500 Cl
```

Calculated values
E = -2.59 eV/atom
formation energy (no corrections) = -0.095 eV/atom
total magnetic moment = 0.00 Bohr magnetons per cell
crystal system = tetragonal
ΔE to the lowest computed polymorph = 0 meV/atom